Below is crystalline TbCo2IrO6 at its relaxed geometry, with properties calculated at the PBE with a Hubbard U level.

Lattice parameters (Å, degrees): 5.2455 5.2455 14.2076 90.00 90.00 120.00
Space group R3 (No. 146, hexagonal axes)
One atom of each set of equivalent atoms:
Tb 0.0000 0.0000 0.0000 (multiplicity 3)
Co 0.0000 0.0000 0.2717 (multiplicity 3)
Co 0.0000 0.0000 0.7953 (multiplicity 3)
Ir 0.0000 0.0000 0.4766 (multiplicity 3)
O 0.0026 0.3083 0.8771 (multiplicity 9)
O 0.0067 0.6105 0.0568 (multiplicity 9)

Calculated values
The value obtained for the energy is -0.4995 Ry per atom. The value obtained for the density of states at the Fermi level is 5.74 states/eV/f.u.